No. 1
! CuAg, optimized geometry, DFT PBE; values from VASP
! M_tot = 0.0000 μB per atom
! DOS at the Fermi energy = 3.60 states/eV per cell
! VASP energy = -30.55 eV per cell
! ρ = 4.8 g/cm3
! Formation enthalpy at 0 K = 90 kJ per mole of atoms
&SYSTEM
  ibrav = 0, nat = 12, ntyp = 2
/
ATOMIC_SPECIES
Ag 107.87 Ag.upf
Cu 63.55 Cu.upf
ATOMIC_POSITIONS angstrom
Ag 1.7724 0.0000 3.5448
Cu 0.0000 5.3172 3.5448
Cu 3.5448 0.0000 5.3172
Ag 0.0000 3.5448 5.3172
Cu 5.3172 3.5448 0.0000
Ag 3.5448 5.3172 0.0000
Cu 1.7724 3.5448 0.0000
Ag 3.5448 1.7724 0.0000
Ag 0.0000 3.5448 1.7724
Cu 0.0000 1.7724 3.5448
Ag 5.3172 0.0000 3.5448
Cu 3.5448 0.0000 1.7724
CELL_PARAMETERS angstrom
7.0896 0.0000 0.0000
0.0000 7.0896 0.0000
0.0000 0.0000 7.0896

No. 2
! CuAg, optimized geometry, DFT PBE; values from VASP
! M_tot = 0.0000 μB per atom
! DOS at the Fermi energy = 0.94 states/eV per cell
! VASP energy = -13.48 eV per cell
! ρ = 9.5 g/cm3
! Formation enthalpy at 0 K = 10 kJ per mole of atoms
&SYSTEM
  ibrav = 0, nat = 4, ntyp = 2
/
ATOMIC_SPECIES
Ag 107.87 Ag.upf
Cu 63.55 Cu.upf
ATOMIC_POSITIONS angstrom
Ag 3.9880 1.4166 2.3165
Ag 1.4519 2.3068 0.9884
Cu 2.3670 -0.2631 0.9378
Cu 0.3549 -0.8787 2.3119
CELL_PARAMETERS angstrom
5.0013 -0.0511 -0.0121
2.7180 4.8652 0.0552
-3.5510 -3.5516 2.4161

No. 3
! CuAg2, optimized geometry, DFT PBE; values from VASP
! M_tot = 0.0000 μB per atom
! DOS at the Fermi energy = 5.18 states/eV per cell
! Distance to the lowest polymorph of the same formula = 30 meV per atom
! VASP energy = -37.85 eV per cell
! ρ = 9.6 g/cm3
! Formation enthalpy at 0 K = 11 kJ per mole of atoms
&SYSTEM
  ibrav = 0, nat = 12, ntyp = 2
/
ATOMIC_SPECIES
Ag 107.87 Ag.upf
Cu 63.55 Cu.upf
ATOMIC_POSITIONS angstrom
Ag -1.0746 -0.1487 2.1239
Cu 0.5096 -4.7882 3.5335
Cu -1.2322 -1.2764 4.7958
Ag -3.8599 -3.5357 7.0151
Ag 0.9850 -1.8271 3.0256
Ag -5.9195 -1.8573 6.1134
Ag -3.2591 0.3516 3.8698
Ag -3.3347 -0.6949 6.4720
Cu -5.4441 1.1038 5.6055
Ag -1.6754 -4.0360 5.2692
Ag -1.5998 -2.9895 2.6671
Cu -3.7023 -2.4080 4.3433
CELL_PARAMETERS angstrom
-0.9145 -5.7219 0.9781
2.4396 0.1257 3.0165
-6.4596 1.9118 5.1445

No. 4
! CuAg2, optimized geometry, DFT PBE; values from VASP
! M_tot = 0.0000 μB per atom
! DOS at the Fermi energy = 2.00 states/eV per cell
! Distance to the lowest polymorph of the same formula = 2 meV per atom
! VASP energy = -19.09 eV per cell
! ρ = 9.6 g/cm3
! Formation enthalpy at 0 K = 8 kJ per mole of atoms
&SYSTEM
  ibrav = 0, nat = 6, ntyp = 2
/
ATOMIC_SPECIES
Ag 107.87 Ag.upf
Cu 63.55 Cu.upf
ATOMIC_POSITIONS angstrom
Ag 6.5164 1.1597 0.3184
Cu -3.3721 -0.8527 6.2551
Ag 4.0445 0.6626 1.6514
Ag 1.5177 0.1570 2.9489
Cu -0.7409 -0.3106 4.5063
Ag 9.0433 1.6654 -0.9792
CELL_PARAMETERS angstrom
-2.9300 0.7666 3.9225
-2.4261 -2.0345 3.8123
9.3179 1.7178 -1.0569

No. 5
! Cu8Ag, optimized geometry, DFT PBE; values from VASP
! M_tot = 0.0000 μB per atom
! DOS at the Fermi energy = 2.07 states/eV per cell
! VASP energy = -34.92 eV per cell
! ρ = 8.9 g/cm3
! Formation enthalpy at 0 K = 7 kJ per mole of atoms
&SYSTEM
  ibrav = 0, nat = 9, ntyp = 2
/
ATOMIC_SPECIES
Cu 63.55 Cu.upf
Ag 107.87 Ag.upf
ATOMIC_POSITIONS angstrom
Cu -1.0526 2.4052 -0.1018
Cu -2.7886 -5.3297 -1.1709
Cu -2.8121 -1.3532 -2.8940
Cu -1.4006 -2.6768 -0.5881
Cu -0.9752 -1.7052 1.7449
Cu -1.4753 1.2930 -2.3716
Ag 0.0000 0.0000 0.0000
Cu -2.5028 -0.3664 -0.7107
Cu -2.9374 2.5743 -4.7220
CELL_PARAMETERS angstrom
-0.9021 -5.5869 3.4888
-1.1257 6.2869 -1.8457
-3.2871 -2.4196 -5.2478

No. 6
! CuAg2, optimized geometry, DFT PBE; values from VASP
! M_tot = 0.0000 μB per atom
! DOS at the Fermi energy = 0.93 states/eV per cell
! Distance to the lowest polymorph of the same formula = 165 meV per atom
! VASP energy = -9.06 eV per cell
! ρ = 8.3 g/cm3
! Formation enthalpy at 0 K = 24 kJ per mole of atoms
&SYSTEM
  ibrav = 0, nat = 3, ntyp = 2
/
ATOMIC_SPECIES
Ag 107.87 Ag.upf
Cu 63.55 Cu.upf
ATOMIC_POSITIONS angstrom
Ag -0.1252 1.8429 -1.8741
Cu 0.0000 0.0000 0.0000
Ag -1.8438 1.7398 0.7056
CELL_PARAMETERS angstrom
-0.7966 0.8691 -4.2246
-4.2338 0.6628 0.9347
0.5462 2.8167 0.4765

No. 7
! Cu6Ag, optimized geometry, DFT PBE; values from VASP
! M_tot = 0.0000 μB per atom
! DOS at the Fermi energy = 1.54 states/eV per cell
! VASP energy = -21.34 eV per cell
! ρ = 6.1 g/cm3
! Formation enthalpy at 0 K = 84 kJ per mole of atoms
&SYSTEM
  ibrav = 0, nat = 7, ntyp = 2
/
ATOMIC_SPECIES
Cu 63.55 Cu.upf
Ag 107.87 Ag.upf
ATOMIC_POSITIONS angstrom
Cu 0.9271 3.2777 1.1354
Ag 0.0000 0.0000 0.0000
Cu 2.7812 1.9666 1.1354
Cu -0.9271 0.6555 3.4062
Cu 2.7812 0.0000 2.2708
Cu 0.9271 -0.6555 3.4062
Cu -0.9271 2.6221 2.2708
CELL_PARAMETERS angstrom
5.5624 0.0000 0.0000
-1.8541 5.2443 0.0000
-1.8541 -2.6221 4.5417

No. 8
! CuAg, optimized geometry, DFT PBE; values from VASP
! M_tot = 0.0000 μB per atom
! DOS at the Fermi energy = 1.32 states/eV per cell
! VASP energy = -13.43 eV per cell
! ρ = 9.5 g/cm3
! Formation enthalpy at 0 K = 11 kJ per mole of atoms
&SYSTEM
  ibrav = 0, nat = 4, ntyp = 2
/
ATOMIC_SPECIES
Ag 107.87 Ag.upf
Cu 63.55 Cu.upf
ATOMIC_POSITIONS angstrom
Ag 7.7052 4.5437 0.0000
Cu 2.7945 -0.5491 1.2117
Ag 1.6444 1.8943 1.2440
Cu 4.0193 2.3701 0.0000
CELL_PARAMETERS angstrom
5.2675 -0.0155 -0.0323
2.5358 4.6170 0.0323
-3.3449 -3.2449 2.4557